Computed, not measured: MgBeNi2 after structural relaxation at the PBE-GGA level of DFT.

Summary:
Calculated formation energy in meV per atom: 294
D(E_F) in states/eV/atom: 0.79
E in eV per atom: -3.93

Lattice parameters (Å, degrees): 3.6550 3.6550 15.9094 90.00 90.00 90.00
Last column: nearest neighbours and their distance in Å.
Fractional positions:
Mg1 0.0000 0.0000 0.0000  4 Ni 2.47, 4 Be 2.58
Mg2 0.0000 0.5000 0.2500  4 Ni 2.47, 4 Be 2.58
Mg3 0.5000 0.0000 0.7500  4 Ni 2.47, 4 Be 2.58
Mg4 0.5000 0.5000 0.5000  4 Ni 2.47, 4 Be 2.58
Be1 0.0000 0.0000 0.5000  4 Ni 2.30
Be2 0.0000 0.5000 0.7500  4 Ni 2.30
Be3 0.5000 0.0000 0.2500  4 Ni 2.30
Be4 0.5000 0.5000 0.0000  4 Ni 2.30
Ni1 0.1897 0.2500 0.6250  2 Ni 2.29, 2 Be 2.30, 2 Mg 2.47
Ni2 0.2500 0.6897 0.8750  2 Ni 2.29, 2 Be 2.30, 2 Mg 2.47
Ni3 0.2500 0.8103 0.3750  2 Ni 2.29, 2 Be 2.30, 2 Mg 2.47
Ni4 0.3103 0.2500 0.1250  2 Ni 2.29, 2 Be 2.30, 2 Mg 2.47
Ni5 0.6897 0.7500 0.1250  2 Ni 2.29, 2 Be 2.30, 2 Mg 2.47
Ni6 0.7500 0.1897 0.3750  2 Ni 2.29, 2 Be 2.30, 2 Mg 2.47
Ni7 0.7500 0.3103 0.8750  2 Ni 2.29, 2 Be 2.30, 2 Mg 2.47
Ni8 0.8103 0.7500 0.6250  2 Ni 2.29, 2 Be 2.30, 2 Mg 2.47